A relaxed structure of NaHfBi2S, computed with PBE.

Output
The total energy comes out at -4.55 eV/atom. For the total magnetization, the calculation gives 0.00 μB per formula unit. The value obtained for the calculated density is 7.06 g/cm3. The calculation puts the volume at 153.3 Å³/cell. The formation energy from raw total energies is 0.080 eV/atom.

a b c (Å): 5.7107 4.6998 5.7107
angles (deg): 90.00 90.00 90.00
Positions (direct):
Na: 0.5000 0.5000 0.5000
S: 0.0000 0.0000 0.0000
Hf: 0.0000 0.5000 0.0000
Bi: 0.0000 0.0000 0.5000
Bi: 0.5000 0.0000 0.0000